Entry 1:
The following is a PBE-GGA calculation of a geometry-optimized BaNa2LaCu structure, from the Alexandria database.

As for the total magnetic moment: 0.92 Bohr magnetons per cell. The crystal system is tetragonal. Its density of states at the Fermi level is 8.7 states/eV/cell. The value obtained for the formation enthalpy at 0 K is 0.809 eV per atom. Its final energy is -1.908 eV/atom.

The structure belongs to space group P4/mmm (No. 123); the cell edges are 6.0934, 6.0934 and 5.4781 Å and the angles 90.00°, 90.00° and 90.00°. The inequivalent atoms are Ba at (0.0000, 0.0000, 0.0000), Na at (0.0000, 0.5000, 0.0000), La at (0.5000, 0.5000, 0.5000) and Cu at (0.0000, 0.0000, 0.5000).

=====

Entry 2:
The following is a PBE-GGA calculation of a geometry-optimized KCoP structure, from the Alexandria database.

As for the total magnetic moment: 0.00 Bohr magnetons per cell. The crystal system is triclinic. Its density of states at the Fermi level is 1.0 states/eV/cell. The value obtained for the formation enthalpy at 0 K is -0.369 eV per atom. Its final energy is -4.906 eV/atom.

The structure belongs to space group P-1 (No. 2); the cell edges are 4.0265, 6.2292 and 6.4957 Å and the angles 106.53°, 106.83° and 91.54°. The inequivalent atoms are K at (0.0824, 0.3129, 0.1962), Co at (0.1985, 0.8932, 0.3989) and P at (0.3496, 0.1856, 0.6971).

=====

Entry 3:
The following is a PBE-GGA calculation of a geometry-optimized LaTa2Pt2 structure, from the Alexandria database.

As for the total magnetic moment: 0.00 Bohr magnetons per cell. The crystal system is tetragonal. Its density of states at the Fermi level is 10.3 states/eV/cell. The value obtained for the formation enthalpy at 0 K is -0.309 eV per atom. Its final energy is -8.452 eV/atom.

The structure belongs to space group P4/mbm (No. 127); the cell edges are 8.2264, 8.2264 and 2.8801 Å and the angles 90.00°, 90.00° and 90.00°. The inequivalent atoms are La at (0.0000, 0.0000, 0.0000), Ta at (0.1676, 0.3324, 0.5000) and Pt at (0.1241, 0.6241, 0.0000).